ZrInSe2 | GGA-PBEsol | relaxed

Properties
crystal system = trigonal
symmetry = No. 160
E_tot = -5.531 eV per atom
calculated volume = 99 Å³/cell
uncorrected formation energy = -587 meV per atom

Cell: 3.745 3.745 8.395 Å, 77.11 77.11 60.00°
Sites, in units of the cell vectors:
Se: 0.766 0.766 0.702
Zr: 0.494 0.494 0.519
In: 0.256 0.256 0.232
Se: 0.984 0.984 0.047

***

AlNiCl2 | GGA-PBEsol | relaxed

Properties
crystal system = trigonal
symmetry = No. 166
E_tot = -3.784 eV per atom
calculated volume = 74 Å³/cell
uncorrected formation energy = -218 meV per atom

Cell: 3.273 3.273 8.191 Å, 78.47 78.47 60.00°
Sites, in units of the cell vectors:
Cl: 0.108 0.108 0.675
Al: 0.000 0.000 0.000
Cl: 0.892 0.892 0.325
Ni: 0.500 0.500 0.500

***

TiFeReOs2 | GGA-PBEsol | relaxed

Properties
crystal system = tetragonal
symmetry = No. 123
E_tot = -9.090 eV per atom
calculated volume = 99 Å³/cell

Cell: 4.573 4.651 4.651 Å, 90.00 90.00 90.00°
Sites, in units of the cell vectors:
Re: 0.000 0.000 0.000
Ti: 0.500 0.000 0.000
Fe: 0.500 0.500 0.500
Os: 0.000 0.500 0.000
Os: 0.000 0.000 0.500

***

Tc2OsPb | GGA-PBEsol | relaxed

Properties
crystal system = orthorhombic
symmetry = No. 47
E_tot = -8.848 eV per atom
calculated volume = 64 Å³/cell

Cell: 3.079 4.531 4.582 Å, 90.00 90.00 90.00°
Sites, in units of the cell vectors:
Os: 0.500 0.500 0.000
Pb: 0.000 0.500 0.500
Tc: 0.000 0.000 0.000
Tc: 0.500 0.000 0.500